The following is a PBE+U calculation of an optimized crystal structure of V2ReO6, from the Alexandria database.

Lattice parameters (Å, degrees): 4.637 4.637 9.261 90.00 90.00 90.00
Site moments in Bohr magnetons follow the coordinates.
Sites, in units of the cell vectors:
O1 0.694 0.694 0.160  -0.01
O2 0.194 0.806 0.340  -0.01
O3 0.194 0.806 0.660  -0.01
O4 0.709 0.709 0.500  -0.04
O5 0.291 0.291 0.500  -0.04
O6 0.791 0.209 0.000  -0.04
O7 0.209 0.791 0.000  -0.04
O8 0.806 0.194 0.660  -0.01
O9 0.306 0.306 0.160  -0.01
O10 0.694 0.694 0.840  -0.01
O11 0.306 0.306 0.840  -0.01
O12 0.806 0.194 0.340  -0.01
Re1 0.500 0.500 0.000  0.97
Re2 0.000 0.000 0.500  0.97
V1 0.500 0.500 0.334  1.94
V2 0.000 0.000 0.166  1.94
V3 0.000 0.000 0.834  1.94
V4 0.500 0.500 0.666  1.94

Computed properties:
E_tot	-8.18	eV per atom
SG	No. 136
D(E_F)	5.02	states/eV/cell
total magnetic moment	10.0	μB per cell